A plane-wave DFT calculation with PBE was carried out for a geometry-optimized TaTc2Pt structure.

Cell: 9.5329 9.5329 9.5329 Å, 16.80 16.80 16.80°
Element x y z (fractional)
Ta (0.0000, 0.0000, 0.0000)
Tc (0.2475, 0.2475, 0.2475)
Tc (0.7525, 0.7525, 0.7525)
Pt (0.5000, 0.5000, 0.5000)

Values from the calculation:
- E_form (eV per atom) = 0.06
- total magnetic moment (μB/f.u.) = 0.0
- space-group type = R-3m (166)